Entry 1:
LaTl2 | Alexandria | PBE | optimized geometry; E = -10.29 eV per formula unit; calculated volume = 93.9 Å³/f.u.; formation energy from the elements = -0.63 eV per formula unit
1.0
-2.949 -2.121 1.285
2.523 -0.983 4.167
-3.883 7.959 4.228
La Tl
2 4
Direct
0.500 0.500 0.500 La
0.000 0.000 0.000 La
0.000 0.000 0.664 Tl
0.500 0.500 0.164 Tl
0.500 0.500 0.836 Tl
0.000 0.000 0.336 Tl

***

Entry 2:
Li9In4Sn11 | Alexandria | PBE | optimized geometry; E = -77.10 eV per formula unit; calculated volume = 548.5 Å³/f.u.; formation energy from the elements = -4.89 eV per formula unit
1.0
-1.185 1.620 -2.688
-1.966 -11.211 -5.890
-11.584 0.578 5.453
Sn Li In
11 9 4
Direct
0.000 0.396 0.059 Sn
0.000 0.793 0.207 Sn
0.000 0.207 0.793 Sn
0.000 0.188 0.188 Sn
0.000 0.059 0.396 Sn
0.000 0.635 0.365 Sn
0.000 0.812 0.812 Sn
0.000 0.365 0.635 Sn
0.000 0.000 0.000 Sn
0.000 0.604 0.941 Sn
0.000 0.941 0.604 Sn
0.500 0.014 0.801 Li
0.500 0.140 0.602 Li
0.500 0.500 0.500 Li
0.500 0.860 0.398 Li
0.500 0.801 0.014 Li
0.500 0.986 0.199 Li
0.500 0.602 0.140 Li
0.500 0.199 0.986 Li
0.500 0.398 0.860 Li
0.500 0.730 0.574 In
0.500 0.426 0.270 In
0.500 0.574 0.730 In
0.500 0.270 0.426 In

***

Entry 3:
ReWCl2 | Alexandria | PBE | optimized geometry; E = -27.50 eV per formula unit; calculated volume = 90.2 Å³/f.u.
1.0
6.989 0.098 -0.088
6.318 2.991 -0.088
0.493 0.114 4.442
Cl Re W
2 1 1
Direct
0.109 0.109 0.963 Cl
0.391 0.391 0.537 Cl
0.250 0.250 0.250 Re
0.750 0.750 0.750 W

***

Entry 4:
Tl2AgAu | Alexandria | PBE | optimized geometry; E = -10.38 eV per formula unit; calculated volume = 100.9 Å³/f.u.; formation energy from the elements = 0.49 eV per formula unit
1.0
-3.166 -4.352 6.319
0.224 -3.210 7.650
-2.771 -0.847 7.777
Ag Tl Au
1 2 1
Direct
0.250 0.250 0.250 Ag
0.498 0.498 0.498 Tl
0.002 0.002 0.002 Tl
0.750 0.750 0.750 Au

***

Entry 5:
VAgIBr6 | Alexandria | PBE | optimized geometry; E = -27.69 eV per formula unit; calculated volume = 331.2 Å³/f.u.
1.0
7.296 0.350 -0.526
3.946 6.323 -1.440
-0.524 -1.394 7.696
Br Ag I V
6 1 1 1
Direct
0.620 0.374 0.696 Br
0.621 0.966 0.243 Br
0.003 0.682 0.718 Br
0.022 0.350 0.303 Br
0.331 0.572 0.346 Br
0.342 0.113 0.659 Br
0.636 0.654 0.550 Ag
0.044 0.988 0.007 I
0.380 0.301 0.478 V

***

Entry 6:
Be4InP | Alexandria | PBE | optimized geometry; E = -20.16 eV per formula unit; calculated volume = 73.0 Å³/f.u.; formation energy from the elements = 2.90 eV per formula unit
1.0
1.407 -4.474 0.110
-2.203 -3.217 -2.610
2.153 -1.874 -3.724
P Be In
1 4 1
Direct
0.000 0.000 0.000 P
0.374 0.374 0.374 Be
0.374 0.374 0.878 Be
0.374 0.878 0.374 Be
0.878 0.374 0.374 Be
0.750 0.750 0.750 In

***

Entry 7:
PrCoAg | Alexandria | PBE | optimized geometry; E = -15.12 eV per formula unit; calculated volume = 64.2 Å³/f.u.; formation energy from the elements = -0.39 eV per formula unit
1.0
-1.415 -3.252 -1.612
3.558 -1.652 0.209
-3.613 -2.158 7.524
Ag Co Pr
2 2 2
Direct
0.250 0.707 0.414 Ag
0.750 0.293 0.586 Ag
0.250 0.533 0.067 Co
0.750 0.467 0.933 Co
0.750 0.102 0.203 Pr
0.250 0.898 0.797 Pr

***

Entry 8:
YThTe2 | Alexandria | PBE | optimized geometry; E = -24.79 eV per formula unit; calculated volume = 121.4 Å³/f.u.
1.0
-0.464 -3.081 -2.846
1.562 -3.843 0.777
-6.436 -4.392 2.676
Te Th Y
2 1 1
Direct
0.254 0.254 0.237 Te
0.746 0.746 0.763 Te
0.500 0.500 0.500 Th
0.000 0.000 0.000 Y

***

Entry 9:
TaTc2Ir2 | Alexandria | PBE | optimized geometry; E = -50.70 eV per formula unit; calculated volume = 78.4 Å³/f.u.; formation energy from the elements = -0.40 eV per formula unit
1.0
7.526 0.000 0.000
0.000 7.526 0.000
0.000 0.000 2.770
Ir Tc Ta
4 4 2
Direct
0.674 0.826 0.500 Ir
0.326 0.174 0.500 Ir
0.174 0.674 0.500 Ir
0.826 0.326 0.500 Ir
0.379 0.879 0.000 Tc
0.621 0.121 0.000 Tc
0.121 0.379 0.000 Tc
0.879 0.621 0.000 Tc
0.500 0.500 0.000 Ta
0.000 0.000 0.000 Ta

***

Entry 10:
TeOsRu2 | Alexandria | PBE | optimized geometry; E = -30.95 eV per formula unit; calculated volume = 63.9 Å³/f.u.
1.0
-3.628 -0.772 -2.963
-1.417 -2.595 -3.713
-2.134 -3.592 2.438
Os Te Ru
1 1 2
Direct
0.250 0.250 0.250 Os
0.750 0.750 0.750 Te
0.510 0.510 0.475 Ru
0.990 0.990 0.025 Ru

***

Entry 11:
Ba2DyTlSe4 | Alexandria | PBE | optimized geometry; E = -37.72 eV per formula unit; calculated volume = 262.9 Å³/f.u.
1.0
-1.937 -2.670 -3.080
6.695 -3.501 -1.175
0.604 -6.254 5.043
Se Ba Dy Tl
4 2 1 1
Direct
0.500 0.721 0.279 Se
0.500 0.279 0.721 Se
0.000 0.728 0.725 Se
0.000 0.272 0.275 Se
0.500 0.000 0.500 Ba
0.000 0.000 0.000 Ba
0.000 0.500 0.500 Dy
0.500 0.500 0.000 Tl

***

Entry 12:
Ag3BiMo | Alexandria | PBE | optimized geometry; E = -16.38 eV per formula unit; calculated volume = 153.9 Å³/f.u.; formation energy from the elements = 6.88 eV per formula unit
1.0
5.358 0.000 0.000
0.000 5.358 0.000
0.000 0.000 5.358
Ag Mo Bi
3 1 1
Direct
0.000 0.000 0.500 Ag
0.000 0.500 0.000 Ag
0.500 0.000 0.000 Ag
0.500 0.500 0.500 Mo
0.000 0.000 0.000 Bi